1.
The following is a GGA-PBEsol calculation of a relaxed structure of InTeCI2, from Alexandria via LeMat-Bulk.

Output
uncorrected formation energy = 1610 meV per atom
ρ = 4.483 g/cm³

Lattice parameters (Å, degrees): 5.7353 5.7353 5.7237 90.00 90.00 90.00
Site moments in Bohr magnetons follow the coordinates.
Fractional positions:
I 0.0000 0.5000 0.0000  -0.06
I 0.5000 0.0000 0.0000  -0.06
In 0.0000 0.0000 0.0000  0.01
Te 0.0000 0.0000 0.5000  -0.45
C 0.5000 0.5000 0.5000  0.91

***

2.
The following is a GGA-PBEsol calculation of a relaxed structure of MnBeBr2N, from Alexandria via LeMat-Bulk.

Output
uncorrected formation energy = 1333 meV per atom
ρ = 3.921 g/cm³

Lattice parameters (Å, degrees): 4.6294 4.6294 4.6984 90.00 90.00 90.00
Site moments in Bohr magnetons follow the coordinates.
Fractional positions:
Br 0.0000 0.5000 0.0000  0.10
Br 0.5000 0.0000 0.0000  0.10
Be 0.0000 0.0000 0.0000  -0.04
N 0.5000 0.5000 0.5000  1.64
Mn 0.0000 0.0000 0.5000  4.12

***

3.
The following is a GGA-PBEsol calculation of a relaxed structure of SrTcP2, from Alexandria via LeMat-Bulk.

Output
offset from the most stable computed form = 867 meV per atom
E_form = 0.241 eV/atom
ρ = 5.910 g/cm³

Lattice parameters (Å, degrees): 3.2711 4.6913 4.6913 100.54 96.78 96.78
Fractional positions:
P 0.0000 0.0000 0.5000
P 0.0000 0.5000 0.0000
Sr 0.5000 0.0000 0.0000
Tc 0.5000 0.5000 0.5000

***

4.
The following is a GGA-PBEsol calculation of a relaxed structure of GeBP3, from Alexandria via LeMat-Bulk.

Output
E_form = 1.828 eV/atom
ρ = 2.967 g/cm³

Lattice parameters (Å, degrees): 4.6216 4.6216 4.6216 90.00 90.00 90.00
Fractional positions:
Ge 0.0000 0.0000 0.0000
P 0.5000 0.0000 0.0000
P 0.0000 0.5000 0.0000
P 0.0000 0.0000 0.5000
B 0.5000 0.5000 0.5000

***

5.
The following is a GGA-PBEsol calculation of a relaxed structure of AlSeCl2, from Alexandria via LeMat-Bulk.

Output
offset from the most stable computed form = 120 meV per atom
uncorrected formation energy = -478 meV per atom
ρ = 2.833 g/cm³

Lattice parameters (Å, degrees): 3.7609 3.7609 7.3279 90.00 90.00 90.00
Fractional positions:
Al 0.5000 0.5000 0.6029
Cl 0.0000 0.0000 0.9435
Cl 0.5000 0.5000 0.3122
Se 0.0000 0.0000 0.6414

***

6.
The following is a GGA-PBEsol calculation of a relaxed structure of Ba2ZrAs, from Alexandria via LeMat-Bulk.

Output
E_form = 0.101 eV/atom
ρ = 6.401 g/cm³

Lattice parameters (Å, degrees): 4.8230 4.8230 5.9829 113.77 113.77 90.00
Fractional positions:
As 0.2500 0.7500 0.5000
Ba 0.0000 0.0000 0.0000
Ba 0.7500 0.2500 0.5000
Zr 0.5000 0.5000 0.0000